Record 1
First-principles (GGA-PBE) data for a relaxed Tb2Tm4Th3 crystal, as listed in Alexandria.

Properties
DFT formation energy   79 meV per atom

a = 3.5410 Å, b = 3.5410 Å, c = 26.2569 Å
α = 90.00°, β = 90.00°, γ = 120.00°
With the nearest neighbours (Å) after each atom.
Space group P3m1 (No. 156)
Symmetry-distinct sites (fractional):
Tb 0.0000 0.0000 0.0000  3 Tm 3.50, 6 Tb 3.54, 3 Th 3.60
Tb 0.0000 0.0000 0.2212  1 Tm 3.31, 3 Th 3.50, 6 Tb 3.54
Tm 0.0000 0.0000 0.3474  1 Tb 3.31, 3 Th 3.47, 6 Tm 3.54
Tm 0.0000 0.0000 0.5662  9 Tm 3.44-3.54, 3 Th 3.58
Tm 0.3333 0.6667 0.6718  9 Tm 3.44-3.54, 3 Th 3.54
Tm 0.3333 0.6667 0.8919  3 Tb 3.50, 3 Th 3.53, 6 Tm 3.54
Th 0.0000 0.0000 0.7821  6 Tm 3.53-3.54, 6 Th 3.54
Th 0.3333 0.6667 0.1129  6 Tb 3.50-3.60, 6 Th 3.54
Th 0.3333 0.6667 0.4544  6 Tm 3.47-3.58, 6 Th 3.54



Record 2
First-principles (GGA-PBE) data for a relaxed Fe2TeMo crystal, as listed in Alexandria.

Properties
ΔE_f (raw)   9.97 kcal/mol of atoms
Energy above the lowest structure with this stoichiometry   0.092 eV per atom

a = 5.7955 Å, b = 5.8466 Å, c = 3.5274 Å
α = 90.00°, β = 90.00°, γ = 90.00°
With the nearest neighbours (Å) after each atom.
Space group Cmmm (No. 65)
Symmetry-distinct sites (fractional):
Fe 0.2500 0.2500 0.0000  4 Mo 2.71, 4 Te 2.71, 4 Fe 2.90-2.92
Te 0.0000 0.0000 0.5000  8 Fe 2.71, 4 Mo 2.90-2.92
Mo 0.0000 0.5000 0.5000  8 Fe 2.71, 4 Te 2.90-2.92



Record 3
First-principles (GGA-PBE) data for a relaxed NaLa2YO crystal, as listed in Alexandria.

Properties
ΔE_f (raw)   24.18 kcal/mol of atoms

a = 5.7139 Å, b = 5.7139 Å, c = 5.3869 Å
α = 90.00°, β = 90.00°, γ = 90.00°
With the nearest neighbours (Å) after each atom.
Space group P4/mmm (No. 123)
Symmetry-distinct sites (fractional):
Na 0.0000 0.0000 0.0000  2 Y 2.69, 4 La 2.86
La 0.0000 0.5000 0.0000  2 Na 2.86
Y 0.0000 0.0000 0.5000  2 Na 2.69
O 0.5000 0.5000 0.5000  8 La 3.93, 4 Y 4.04



Record 4
First-principles (GGA-PBE) data for a relaxed KHgOs2 crystal, as listed in Alexandria.

Properties
DFT formation energy   1041 meV per atom

a = 12.4422 Å, b = 2.8163 Å, c = 7.0137 Å
α = 90.00°, β = 121.32°, γ = 90.00°
With the nearest neighbours (Å) after each atom.
Space group C2/m (No. 12)
Symmetry-distinct sites (fractional):
K 0.0000 0.0000 0.0000  2 K 2.82
Hg 0.0000 0.5000 0.5000  4 Os 2.81, 2 Hg 2.82
Os 0.2083 0.0000 0.8344  2 Os 2.44



Calculated volume (Å³ per cell)
285.11 119.52 175.88 209.96